Record 1
The following is a PBE calculation of a geometry-optimized V4Re2Ru3 structure, from Alexandria.

Properties
- Space group: P-3m1, No. 164
- Magnetization: 0.00 μB per formula unit
- DFT formation energy: -1.9 eV/f.u.

Unit cell a=4.293 b=4.293 c=7.845 alpha=90.00 beta=90.00 gamma=120.00
Atoms (fractional coordinates):
V 0.000 0.000 0.158
V 0.000 0.000 0.842
V 0.333 0.667 0.390
V 0.667 0.333 0.610
Re 0.333 0.667 0.719
Re 0.667 0.333 0.281
Ru 0.000 0.000 0.500
Ru 0.333 0.667 0.079
Ru 0.667 0.333 0.921

=====

Record 2
The following is a PBE calculation of a geometry-optimized VP2SBr structure, from Alexandria.

Properties
- Space group: P4/mmm, No. 123
- Magnetization: 0.12 μB per formula unit
- Raw formation energy: 1652 meV/atom
- Excess energy over the best structure of this formula in the dataset: 1450 meV per atom

Unit cell a=4.785 b=4.785 c=4.619 alpha=90.00 beta=90.00 gamma=90.00
Atoms (fractional coordinates):
V 0.000 0.000 0.000
P 0.000 0.500 0.500
P 0.500 0.000 0.500
S 0.500 0.500 0.000
Br 0.500 0.500 0.500